# PmAgRh2

An optimized crystal structure of PmAgRh2 (GGA-PBE, Alexandria via LeMat-Bulk).

As for the total DFT energy (no corrections): -23.619 eV/cell.

The structure belongs to space group P4/mmm (No. 123); the cell edges are 4.260, 4.260 and 4.028 Å and the angles 90.00°, 90.00° and 90.00°. The inequivalent atoms are Pm at (0.000, 0.000, 0.000), Ag at (0.500, 0.500, 0.000) and Rh at (0.000, 0.500, 0.500).

***

# Pm6AgRh2

An optimized crystal structure of Pm6AgRh2 (GGA-PBE, Alexandria via LeMat-Bulk).

As for the total DFT energy (no corrections): -199.647 eV/cell.

The structure belongs to space group Immm (No. 71); the cell edges are 9.475, 9.907 and 10.584 Å and the angles 90.00°, 90.00° and 90.00°. The inequivalent atoms are Pm at (0.000, 0.197, 0.232), Pm at (0.194, 0.500, 0.171), Pm at (0.212, 0.322, 0.500), Ag at (0.000, 0.000, 0.000), Ag at (0.000, 0.000, 0.500), Rh at (0.000, 0.336, 0.000) and Rh at (0.000, 0.500, 0.368).

***

# Pm8Ag2Rh

An optimized crystal structure of Pm8Ag2Rh (GGA-PBE, Alexandria via LeMat-Bulk).

As for the total DFT energy (no corrections): -105.711 eV/cell. The energy above the most stable polymorph in this dataset comes out at 39 meV/atom.

The structure belongs to space group Cm (No. 8); the cell edges are 7.684, 16.349 and 6.259 Å and the angles 90.00°, 122.33° and 90.00°. The inequivalent atoms are Pm at (0.000, 0.000, 0.000), Pm at (0.038, 0.384, 0.888), Pm at (0.047, 0.500, 0.379), Pm at (0.268, 0.195, 0.220), Pm at (0.491, 0.384, 0.523), Ag at (0.270, 0.280, 0.718) and Rh at (0.266, 0.000, 0.519).

***

# Pm2Ag2Rh

An optimized crystal structure of Pm2Ag2Rh (GGA-PBE, Alexandria via LeMat-Bulk).

As for the total DFT energy (no corrections): -49.257 eV/cell.

The structure belongs to space group P-1 (No. 2); the cell edges are 3.956, 5.674 and 11.494 Å and the angles 79.63°, 80.22° and 69.65°. The inequivalent atoms are Pm at (0.001, 0.164, 0.334), Pm at (0.189, 0.249, 0.873), Ag at (0.340, 0.280, 0.541), Ag at (0.460, 0.685, 0.895) and Rh at (0.304, 0.588, 0.302).

***

The records above give, respectively, energy of formation values of -0.329, -0.428, -0.163, -0.415 eV per atom.